Compound: SiNiF3
Source: Alexandria via LeMat-Bulk
Functional: PBE with a Hubbard U
Structure: optimized geometry

Summary:
Energy relative to the lowest polymorph listed for this composition ... 0.371 eV per atom

a = 4.100 Å, b = 4.100 Å, c = 4.100 Å
α = 90.00°, β = 90.00°, γ = 90.00°
Space group Pm-3m (No. 221)
Unique sites:
Si: 0.000 0.000 0.000
Ni: 0.500 0.500 0.500
F: 0.000 0.000 0.500